Below is RhI2NF after structural relaxation, with properties calculated at the GGA-PBE level.

abc: 5.5803 5.5803 3.6403
angles: 90.00 90.00 90.00
Closest atoms and distances in Å follow each position.
Element x y z (fractional)
I1 0.0000 0.5000 0.0000  2 Rh 2.79
I2 0.5000 0.0000 0.0000  2 Rh 2.79
N1 0.0000 0.0000 0.5000  2 Rh 1.82
Rh1 0.0000 0.0000 0.0000  2 N 1.82
F1 0.5000 0.5000 0.5000  8 I 3.33, 2 F 3.64

## Properties
- space group = P4/mmm, No. 123
- offset from the most stable computed form (eV/atom) = 0.000
- N(E_F) (states/eV/cell) = 5.761
- uncorrected formation energy (meV per atom) = 323.5

=====

Below is Cs3ThMg2Te6 after structural relaxation, with properties calculated at the GGA-PBE level.

abc: 7.7729 7.7729 9.3869
angles: 97.96 97.96 120.00
Closest atoms and distances in Å follow each position.
Element x y z (fractional)
Cs1 0.1639 0.8361 0.5000  6 Te 3.80-3.86
Cs2 0.8361 0.1639 0.5000  6 Te 3.80-3.86
Cs3 0.5000 0.5000 0.5000  6 Te 3.79-3.86
Th1 0.0000 0.0000 0.0000  6 Te 3.15
Mg1 0.3328 0.6672 0.0000  6 Te 3.05-3.06
Mg2 0.6672 0.3328 0.0000  6 Te 3.05-3.06
Te1 0.9380 0.5948 0.8132  2 Mg 3.05-3.06, 1 Th 3.15
Te2 0.7183 0.7183 0.1851  2 Mg 3.05, 1 Th 3.15
Te3 0.0620 0.4052 0.1868  2 Mg 3.05-3.06, 1 Th 3.15
Te4 0.5948 0.9380 0.8132  2 Mg 3.05-3.06, 1 Th 3.15
Te5 0.2817 0.2817 0.8149  2 Mg 3.05, 1 Th 3.15
Te6 0.4052 0.0620 0.1868  2 Mg 3.05-3.06, 1 Th 3.15

## Properties
- space group = C2/m, No. 12
- N(E_F) (states/eV/cell) = 12.772
- uncorrected formation energy (meV per atom) = -961.6

=====

Below is SnBiS2N after structural relaxation, with properties calculated at the GGA-PBE level.

abc: 5.2805 5.2805 4.2328
angles: 90.00 90.00 90.00
Closest atoms and distances in Å follow each position.
Element x y z (fractional)
S1 0.0000 0.5000 0.0000  2 Bi 2.64
S2 0.5000 0.0000 0.0000  2 Bi 2.64
N1 0.0000 0.0000 0.5000  2 Bi 2.12
Bi1 0.0000 0.0000 0.0000  2 N 2.12
Sn1 0.5000 0.5000 0.5000  8 S 3.38, 4 N 3.73

## Properties
- space group = P4/mmm, No. 123
- offset from the most stable computed form (eV/atom) = 0.214
- N(E_F) (states/eV/cell) = 4.404
- uncorrected formation energy (meV per atom) = 760.7

=====

no.,VASP energy (Ha/atom)
1,-0.140
2,-0.133
3,-0.152